1.
Material: MgZn4Ag5
Method: DFT, PBE
State: optimized geometry

Unit cell a=3.253 b=3.253 c=15.651 alpha=90.00 beta=90.00 gamma=90.00
Positions (direct):
1 Mg 0.000 0.000 0.000
2 Zn 0.000 0.000 0.206
3 Zn 0.000 0.000 0.402
4 Zn 0.000 0.000 0.598
5 Zn 0.000 0.000 0.794
6 Ag 0.500 0.500 0.109
7 Ag 0.500 0.500 0.304
8 Ag 0.500 0.500 0.500
9 Ag 0.500 0.500 0.696
10 Ag 0.500 0.500 0.891

Output
Energy of formation from the pure elements in eV per atom: -0.080
DFT total energy in eV per atom: -2.175

2.
Material: Pm2Nd8Th3
Method: DFT, PBE
State: optimized geometry

Unit cell a=7.503 b=7.503 c=8.833 alpha=105.10 beta=105.10 gamma=95.21
Positions (direct):
1 Pm 0.228 0.228 0.037
2 Pm 0.772 0.772 0.963
3 Nd 0.080 0.596 0.319
4 Nd 0.093 0.093 0.350
5 Nd 0.403 0.403 0.785
6 Nd 0.404 0.920 0.681
7 Nd 0.596 0.080 0.319
8 Nd 0.597 0.597 0.215
9 Nd 0.907 0.907 0.650
10 Nd 0.920 0.404 0.681
11 Th 0.238 0.762 0.000
12 Th 0.500 0.500 0.500
13 Th 0.762 0.238 0.000

Output
Energy of formation from the pure elements in eV per atom: 0.236
DFT total energy in eV per atom: -5.141

3.
Material: Mg5GaAg
Method: DFT, PBE
State: optimized geometry

Unit cell a=8.423 b=8.423 c=8.423 alpha=134.86 beta=134.86 gamma=65.75
Positions (direct):
1 Mg 0.138 0.638 0.997
2 Mg 0.141 0.138 0.500
3 Mg 0.250 0.250 0.000
4 Mg 0.359 0.859 0.997
5 Mg 0.362 0.359 0.500
6 Mg 0.638 0.641 0.500
7 Mg 0.641 0.141 0.003
8 Mg 0.750 0.750 0.000
9 Mg 0.859 0.862 0.500
10 Mg 0.862 0.362 0.003
11 Ga 0.000 0.000 0.000
12 Ga 0.500 0.500 0.000
13 Ag 0.250 0.750 0.500
14 Ag 0.750 0.250 0.500

Output
Energy of formation from the pure elements in eV per atom: -0.098
DFT total energy in eV per atom: -2.077

4.
Material: GeTe3S
Method: DFT, PBE
State: optimized geometry

Unit cell a=5.255 b=5.255 c=5.255 alpha=90.00 beta=90.00 gamma=90.00
Positions (direct):
1 Ge 0.000 0.000 0.000
2 Te 0.000 0.500 0.500
3 Te 0.500 0.000 0.500
4 Te 0.500 0.500 0.000
5 S 0.500 0.500 0.500

Output
E above lowest polymorph in meV/atom: 0
DFT total energy in eV per atom: -3.088

5.
Material: TcOs2Ru2
Method: DFT, PBE
State: optimized geometry

Unit cell a=7.360 b=7.360 c=2.747 alpha=90.00 beta=90.00 gamma=90.00
Positions (direct):
1 Tc 0.000 0.000 0.000
2 Tc 0.500 0.500 0.000
3 Os 0.173 0.327 0.500
4 Os 0.327 0.827 0.500
5 Os 0.673 0.173 0.500
6 Os 0.827 0.673 0.500
7 Ru 0.124 0.624 0.000
8 Ru 0.376 0.124 0.000
9 Ru 0.624 0.876 0.000
10 Ru 0.876 0.376 0.000

Output
E above lowest polymorph in meV/atom: 396
Energy of formation from the pure elements in eV per atom: 0.346
DFT total energy in eV per atom: -9.929

6.
Material: NiMoAs2
Method: DFT, PBE
State: optimized geometry

Unit cell a=5.846 b=3.381 c=12.217 alpha=90.00 beta=90.00 gamma=90.00
Positions (direct):
1 Ni 0.032 0.250 0.087
2 Ni 0.468 0.750 0.587
3 Ni 0.532 0.250 0.413
4 Ni 0.968 0.750 0.913
5 Mo 0.003 0.250 0.331
6 Mo 0.497 0.750 0.831
7 Mo 0.503 0.250 0.169
8 Mo 0.997 0.750 0.669
9 As 0.156 0.250 0.809
10 As 0.194 0.250 0.532
11 As 0.306 0.750 0.032
12 As 0.344 0.750 0.309
13 As 0.656 0.250 0.691
14 As 0.694 0.250 0.968
15 As 0.806 0.750 0.468
16 As 0.844 0.750 0.191

Output
Energy of formation from the pure elements in eV per atom: -0.233
DFT total energy in eV per atom: -6.710

7.
Material: Ga2PbO2
Method: DFT, PBE
State: optimized geometry

Unit cell a=7.477 b=7.477 c=2.953 alpha=90.00 beta=90.00 gamma=90.00
Positions (direct):
1 Ga 0.117 0.383 0.000
2 Ga 0.383 0.883 0.000
3 Ga 0.617 0.117 0.000
4 Ga 0.883 0.617 0.000
5 Pb 0.000 0.000 0.000
6 Pb 0.500 0.500 0.000
7 O 0.113 0.613 0.500
8 O 0.387 0.113 0.500
9 O 0.613 0.887 0.500
10 O 0.887 0.387 0.500

Output
E above lowest polymorph in meV/atom: 598
DFT total energy in eV per atom: -4.230

8.
Material: Pr2PuSi2
Method: DFT, PBE
State: optimized geometry

Unit cell a=5.909 b=5.909 c=5.909 alpha=135.56 beta=114.15 gamma=82.93
Positions (direct):
1 Pr 0.208 0.208 0.000
2 Pr 0.792 0.792 0.000
3 Pu 0.500 0.000 0.500
4 Si 0.195 0.500 0.695
5 Si 0.805 0.500 0.305

Output
DFT total energy in eV per atom: -7.434

9.
Material: LaBIr2Pt
Method: DFT, PBE
State: optimized geometry

Unit cell a=4.315 b=4.315 c=4.403 alpha=90.00 beta=90.00 gamma=90.00
Positions (direct):
1 La 0.000 0.000 0.000
2 B 0.500 0.500 0.500
3 Ir 0.000 0.500 0.500
4 Ir 0.500 0.000 0.500
5 Pt 0.500 0.500 0.000

Output
Energy of formation from the pure elements in eV per atom: -0.583
DFT total energy in eV per atom: -7.657

10.
Material: HoInGe
Method: DFT, PBE
State: optimized geometry

Unit cell a=9.923 b=9.923 c=4.254 alpha=90.00 beta=90.00 gamma=156.74
Positions (direct):
1 Ho 0.173 0.827 0.750
2 Ho 0.827 0.173 0.250
3 In 0.453 0.547 0.750
4 In 0.547 0.453 0.250
5 Ge 0.320 0.680 0.750
6 Ge 0.680 0.320 0.250

Output
Energy of formation from the pure elements in eV per atom: -0.347
DFT total energy in eV per atom: -4.325

11.
Material: Mg6CdPd12
Method: DFT, PBE
State: optimized geometry

Unit cell a=7.330 b=7.330 c=7.330 alpha=107.01 beta=107.01 gamma=107.01
Positions (direct):
1 Mg 0.030 0.418 0.294
2 Mg 0.294 0.030 0.418
3 Mg 0.418 0.294 0.030
4 Mg 0.582 0.706 0.970
5 Mg 0.706 0.970 0.582
6 Mg 0.970 0.582 0.706
7 Cd 0.500 0.500 0.500
8 Pd 0.017 0.314 0.906
9 Pd 0.094 0.983 0.686
10 Pd 0.227 0.369 0.665
11 Pd 0.314 0.906 0.017
12 Pd 0.335 0.773 0.631
13 Pd 0.369 0.665 0.227
14 Pd 0.631 0.335 0.773
15 Pd 0.665 0.227 0.369
16 Pd 0.686 0.094 0.983
17 Pd 0.773 0.631 0.335
18 Pd 0.906 0.017 0.314
19 Pd 0.983 0.686 0.094

Output
Energy of formation from the pure elements in eV per atom: -0.450
DFT total energy in eV per atom: -4.281

12.
Material: RbTl2TcCl6
Method: DFT, PBE
State: optimized geometry

Unit cell a=16.203 b=16.203 c=16.203 alpha=25.75 beta=25.75 gamma=25.75
Positions (direct):
1 Rb 0.085 0.085 0.085
2 Rb 0.915 0.915 0.915
3 Tl 0.185 0.185 0.185
4 Tl 0.352 0.352 0.352
5 Tl 0.648 0.648 0.648
6 Tl 0.815 0.815 0.815
7 Tc 0.000 0.000 0.000
8 Tc 0.500 0.500 0.500
9 Cl 0.129 0.129 0.653
10 Cl 0.129 0.653 0.129
11 Cl 0.214 0.687 0.687
12 Cl 0.313 0.313 0.786
13 Cl 0.313 0.786 0.313
14 Cl 0.347 0.871 0.871
15 Cl 0.653 0.129 0.129
16 Cl 0.687 0.214 0.687
17 Cl 0.687 0.687 0.214
18 Cl 0.786 0.313 0.313
19 Cl 0.871 0.347 0.871
20 Cl 0.871 0.871 0.347

Output
DFT total energy in eV per atom: -3.760

Question: Which value of DFT total energy does entry 6 give?
Answer: -6.710 eV per atom

Question: What is the DFT total energy in the eighth record?
Answer: -7.434 eV per atom